Entry 1:
Density functional theory data (PBE-GGA) for an optimized crystal structure of LiEuTm2.

Values from the calculation:
- DFT formation energy: 1.1 eV per formula unit

extended XYZ file:
```
4
Lattice="3.4653 0.0000 0.0000 1.7327 3.0010 0.0000 1.7327 1.0003 12.3073" Properties=species:S:1:pos:R:3 pbc="T T T"
Eu 3.4653 2.0007 6.1537
Tm 1.7327 1.0003 9.1405
Tm 5.1980 3.0010 3.1668
Li 0.0000 0.0000 0.0000
```


Entry 2:
Density functional theory data (PBE-GGA) for an optimized crystal structure of Er2Tm3Sc5.

Values from the calculation:
- DFT formation energy: 2.2 eV per formula unit

extended XYZ file:
```
20
Lattice="8.6806 -1.8708 -2.4451 -3.0934 8.2146 -2.5760 -0.3747 -0.2653 8.8745" Properties=species:S:1:pos:R:3 pbc="T T T"
Sc 2.4067 6.1749 -1.4807
Sc 5.0523 2.8105 -2.8889
Sc 5.1058 3.4523 2.8391
Sc 3.2540 0.8347 2.2404
Sc 0.1602 3.2680 6.7423
Sc -0.8640 2.0371 4.0475
Sc 6.0765 4.0414 -0.1941
Sc 1.9584 5.2438 1.6131
Sc 2.8058 -0.0964 5.3341
Sc 0.1067 2.6262 1.0143
Er -2.9593 7.8541 -0.2679
Er 8.1717 -1.7756 4.1213
Er -0.2266 5.1719 4.1404
Er 5.4390 0.9066 -0.2870
Tm 2.1489 3.0824 4.1354
Tm 2.9298 6.4110 4.1687
Tm 2.2827 -0.3325 -0.3152
Tm 5.7645 0.2758 4.0428
Tm 3.0635 2.9961 -0.2820
Tm -0.5520 5.8027 -0.1894
```


Entry 3:
Density functional theory data (PBE-GGA) for an optimized crystal structure of PmGe2Pt7Pb2.

Values from the calculation:
- DFT formation energy: -6.0 eV per formula unit

extended XYZ file:
```
12
Lattice="-2.4215 -1.4097 -2.8943 0.5904 -3.7539 1.3369 -13.2504 -1.0729 8.8374" Properties=species:S:1:pos:R:3 pbc="T T T"
Ge -3.8398 -2.2312 1.4971
Ge -11.2417 -4.0053 5.7830
Pt -2.3845 -4.2471 1.2625
Pt -3.8902 -3.0751 -0.8528
Pt -12.6970 -1.9895 6.0175
Pt -0.9155 -2.5818 -0.7787
Pt -5.7459 -1.9848 2.9904
Pt -9.3356 -4.2518 4.2896
Pt -11.1913 -3.1614 8.1329
Pm 0.0000 0.0000 0.0000
Pb -7.0386 -4.5242 2.5037
Pb -8.0429 -1.7123 4.7764
```


Entry 4:
Density functional theory data (PBE-GGA) for an optimized crystal structure of CsRbRuCl6.

Values from the calculation:
- Formation energy from raw total energies: -10.48 eV/f.u.

extended XYZ file:
```
9
Lattice="7.6997 -0.0013 0.0009 3.8487 6.6692 0.0002 -0.0019 0.0013 6.8058" Properties=species:S:1:pos:R:3 pbc="T T T"
Rb 7.6988 4.4466 3.4034
Cl 4.7969 3.8883 2.0291
Cl 2.8991 3.8867 4.7793
Cl 2.8818 0.5685 4.7777
Cl 4.8147 0.5698 2.0272
Cl 5.7645 2.2124 4.7776
Cl 1.9322 2.2136 2.0285
Cs 7.6977 0.0000 6.8065
Ru 3.8483 2.2233 3.4032
```


Entry 5:
Density functional theory data (PBE-GGA) for an optimized crystal structure of Cs3Cd2.

Values from the calculation:
- DFT formation energy: 0.0 eV per formula unit

extended XYZ file:
```
10
Lattice="-9.3753 1.7987 1.5466 -5.1742 -5.8636 5.6894 -2.8212 3.4101 9.1678" Properties=species:S:1:pos:R:3 pbc="T T T"
Cs -10.1409 0.9487 5.0574
Cs -6.3168 -2.4009 6.2717
Cs -11.0538 1.7461 10.1321
Cs -6.2509 2.4490 8.1941
Cs -7.2297 -1.6035 11.3464
Cs -11.1197 -3.1039 8.2097
Cd -12.6727 0.3434 13.4861
Cd -3.9874 0.6708 5.2842
Cd -13.3833 -1.3257 11.1196
Cd -4.6980 -0.9983 2.9177
```


Entry 6:
Density functional theory data (PBE-GGA) for an optimized crystal structure of YTlAs2.

Values from the calculation:
- DFT formation energy: -1.9 eV per formula unit

extended XYZ file:
```
4
Lattice="-1.5427 0.2732 -4.6945 0.7329 -4.8873 0.2651 -3.6376 -0.4832 1.1662" Properties=species:S:1:pos:R:3 pbc="T T T"
Tl -2.5902 -0.1050 -1.7642
As -0.4049 -2.3070 -2.2147
As 0.0000 0.0000 0.0000
Y -1.4524 -2.6853 0.7157
```


Entry 7:
Density functional theory data (PBE-GGA) for an optimized crystal structure of SbWSe2.

Values from the calculation:
- Formation energy from raw total energies: -0.14 eV/f.u.

extended XYZ file:
```
4
Lattice="-6.2976 5.9777 -3.8817 -8.1983 3.3011 -3.5143 -7.7762 5.3866 -0.9874" Properties=species:S:1:pos:R:3 pbc="T T T"
W -5.5680 3.6663 -2.0958
Se -11.6109 7.6454 -4.3704
Se -21.7972 14.3527 -8.2046
Sb -16.7040 10.9990 -6.2875
```


Entry 8:
Density functional theory data (PBE-GGA) for an optimized crystal structure of Tb6PmDy4.

Values from the calculation:
- DFT formation energy: 1.4 eV per formula unit

extended XYZ file:
```
22
Lattice="5.7541 0.0000 0.0000 -2.8770 4.8012 0.0000 0.0000 0.0000 25.6503" Properties=species:S:1:pos:R:3 pbc="T T T"
Tb 0.0000 1.9152 23.0232
Tb 2.8770 2.8861 2.6271
Tb 2.8770 0.0000 0.0000
Tb 2.8770 3.5529 21.0064
Tb 2.8770 0.0000 12.8251
Tb 0.0000 1.2483 4.6438
Tb 0.0000 4.4526 6.4126
Tb 0.0000 1.9152 15.4522
Tb 2.8770 3.5529 17.4690
Tb 0.0000 1.2483 8.1813
Tb 2.8770 2.8861 10.1981
Tb 2.8770 0.3486 19.2377
Dy 0.0000 4.4054 3.1138
Dy 0.0000 1.4583 1.0949
Dy 0.0000 1.4583 11.7302
Dy 0.0000 4.4054 9.7114
Dy 2.8770 0.3958 15.9389
Dy 2.8770 3.3429 24.5554
Dy 2.8770 3.3429 13.9200
Dy 2.8770 0.3958 22.5365
Pm 0.0000 1.9287 19.2377
Pm 2.8770 2.8725 6.4126
```